(1)
Computed, not measured: a relaxed SrTl2P crystal at the PBE-GGA level of DFT.

Unit cell a=10.7856 b=4.0654 c=6.0084 alpha=90.00 beta=115.96 gamma=90.00
Space group Cm (No. 8)
Inequivalent atoms, fractional coordinates:
Sr (0.0000, 0.0000, 0.0000)
Tl (0.1104, 0.5000, 0.6091)
Tl (0.3201, 0.5000, 0.3622)
P (0.2878, 0.0000, 0.0056)

Properties
D(E_F) = 4.64 states/eV per cell
energy relative to the lowest polymorph listed for this composition = 72 meV/atom
total DFT energy (no corrections) = -3.2795 eV per atom

=====

(2)
Computed, not measured: a relaxed Sr2Tl2P crystal at the PBE-GGA level of DFT.

Unit cell a=6.5431 b=6.5431 c=8.2891 alpha=90.00 beta=90.00 gamma=90.00
Space group I4/mmm (No. 139)
Inequivalent atoms, fractional coordinates:
Sr (0.0000, 0.5000, 0.2500)
Tl (0.0000, 0.0000, 0.1706)
P (0.0000, 0.0000, 0.5000)

Properties
D(E_F) = 7.52 states/eV per cell
energy relative to the lowest polymorph listed for this composition = 339 meV/atom
total DFT energy (no corrections) = -2.7161 eV per atom

=====

(3)
Computed, not measured: a relaxed SrTl2P crystal at the PBE-GGA level of DFT.

Unit cell a=4.3262 b=11.0399 c=9.7586 alpha=90.00 beta=90.00 gamma=90.00
Space group Cmcm (No. 63)
Inequivalent atoms, fractional coordinates:
Sr (0.0000, 0.0466, 0.2500)
Tl (0.0000, 0.3510, 0.0625)
P (0.0000, 0.2527, 0.7500)

Properties
D(E_F) = 7.21 states/eV per cell
energy relative to the lowest polymorph listed for this composition = 97 meV/atom
total DFT energy (no corrections) = -3.2544 eV per atom

=====

(4)
Computed, not measured: a relaxed SrTl2P crystal at the PBE-GGA level of DFT.

Unit cell a=4.0383 b=4.0383 c=6.9354 alpha=90.00 beta=90.00 gamma=90.00
Space group P4mm (No. 99)
Inequivalent atoms, fractional coordinates:
Sr (0.0000, 0.0000, 0.0000)
Tl (0.0000, 0.0000, 0.5503)
Tl (0.5000, 0.5000, 0.3328)
P (0.5000, 0.5000, 0.7680)

Properties
D(E_F) = 1.83 states/eV per cell
energy relative to the lowest polymorph listed for this composition = 181 meV/atom
total DFT energy (no corrections) = -3.1701 eV per atom